# HfZrSi3 | the Alexandria database | GGA-PBE | relaxed
data_HfZrSi3
_chemical_formula_sum 'Hf1 Zr1 Si3'
_space_group_name_H-M_alt 'P m -3 m'
_space_group_IT_number 221
_space_group_name_Hall '-P 4 2 3'
_cell_length_a 4.858
_cell_length_b 4.858
_cell_length_c 4.858
_cell_angle_alpha 90.00
_cell_angle_beta 90.00
_cell_angle_gamma 90.00
loop_
_atom_site_label
_atom_site_type_symbol
_atom_site_fract_x
_atom_site_fract_y
_atom_site_fract_z
_atom_site_occupancy
Hf1 Hf 0.000 0.000 0.000 1
Zr1 Zr 0.500 0.500 0.500 1
Si1 Si 0.000 0.000 0.500 1
# - calculated volume (Å³ per cell) = 114.7
# - theoretical density (g cm⁻³) = 5.126
# - Fermi-level density of states (states/eV/atom) = 1.2265
# - formation energy from raw total energies (eV per atom) = 0.749

# Dy2ErZn2 | the Alexandria database | GGA-PBE | relaxed
data_Dy2ErZn2
_chemical_formula_sum 'Dy8 Er4 Zn8'
_space_group_name_H-M_alt 'C m c 21'
_space_group_IT_number 36
_space_group_name_Hall 'C 2c -2'
_cell_length_a 5.309
_cell_length_b 15.145
_cell_length_c 6.109
_cell_angle_alpha 90.00
_cell_angle_beta 90.00
_cell_angle_gamma 90.00
loop_
_atom_site_label
_atom_site_type_symbol
_atom_site_fract_x
_atom_site_fract_y
_atom_site_fract_z
_atom_site_occupancy
Dy1 Dy 0.000 0.044 0.000 1
Dy2 Dy 0.000 0.201 0.585 1
Er1 Er 0.000 0.418 0.841 1
Zn1 Zn 0.000 0.227 0.094 1
Zn2 Zn 0.000 0.380 0.328 1
# - calculated volume (Å³ per cell) = 491.2
# - theoretical density (g cm⁻³) = 8.426
# - Fermi-level density of states (states/eV/atom) = 0.9497
# - relative energy among the computed polymorphs (eV per atom) = 0.071

# TeOs3W | the Alexandria database | GGA-PBE | relaxed
data_TeOs3W
_chemical_formula_sum 'Te1 Os3 W1'
_space_group_name_H-M_alt 'P m -3 m'
_space_group_IT_number 221
_space_group_name_Hall '-P 4 2 3'
_cell_length_a 4.731
_cell_length_b 4.731
_cell_length_c 4.731
_cell_angle_alpha 90.00
_cell_angle_beta 90.00
_cell_angle_gamma 90.00
loop_
_atom_site_label
_atom_site_type_symbol
_atom_site_fract_x
_atom_site_fract_y
_atom_site_fract_z
_atom_site_occupancy
Te1 Te 0.000 0.000 0.000 1
Os1 Os 0.000 0.000 0.500 1
W1 W 0.500 0.500 0.500 1
# - calculated volume (Å³ per cell) = 105.9
# - theoretical density (g cm⁻³) = 13.832
# - Fermi-level density of states (states/eV/atom) = 1.0389
# - formation energy from raw total energies (eV per atom) = 2.846
# - relative energy among the computed polymorphs (eV per atom) = 0.639

# CaTlGa2Cl8 | the Alexandria database | GGA-PBE | relaxed
data_CaTlGa2Cl8
_chemical_formula_sum 'Ca1 Tl1 Ga2 Cl8'
_space_group_name_H-M_alt 'P -3'
_space_group_IT_number 147
_space_group_name_Hall '-P 3'
_cell_length_a 6.6866
_cell_length_b 6.6866
_cell_length_c 9.5427
_cell_angle_alpha 90.00
_cell_angle_beta 90.00
_cell_angle_gamma 120.00
loop_
_atom_site_label
_atom_site_type_symbol
_atom_site_fract_x
_atom_site_fract_y
_atom_site_fract_z
_atom_site_occupancy
Ca1 Ca 0.0000 0.0000 0.0000 1
Tl1 Tl 0.0000 0.0000 0.5000 1
Ga1 Ga 0.3333 0.6667 0.2494 1
Cl1 Cl 0.0029 0.3242 0.1807 1
Cl2 Cl 0.3333 0.6667 0.4842 1
# - calculated volume (Å³ per cell) = 369.5
# - theoretical density (g cm⁻³) = 3.000
# - Fermi-level density of states (states/eV/atom) = 0.5316
# - formation energy from raw total energies (eV per atom) = -1.275